Record 1
Crystalline Mg2ZnGa2Rh5 at its relaxed geometry. Source: Alexandria via LeMat-Bulk, functional PBE-GGA.

Summary:
SG: P4/mbm, No. 127

Lattice parameters (Å, degrees): 3.2256 9.8407 9.8407 90.00 90.00 90.00
Positions (direct):
Mg 0.0000 0.6696 0.1696
Mg 0.0000 0.1696 0.3304
Mg 0.0000 0.3304 0.8304
Mg 0.0000 0.8304 0.6696
Rh 0.5000 0.0675 0.8063
Rh 0.5000 0.6937 0.4325
Rh 0.5000 0.9325 0.1937
Rh 0.5000 0.0000 0.5000
Rh 0.5000 0.1937 0.0675
Rh 0.5000 0.8063 0.9325
Rh 0.5000 0.5675 0.6937
Rh 0.5000 0.5000 0.0000
Rh 0.5000 0.4325 0.3063
Rh 0.5000 0.3063 0.5675
Ga 0.0000 0.8668 0.3668
Ga 0.0000 0.3668 0.1332
Ga 0.0000 0.1332 0.6332
Ga 0.0000 0.6332 0.8668
Zn 0.0000 0.0000 0.0000
Zn 0.0000 0.5000 0.5000



Record 2
Crystalline AcPm3 at its relaxed geometry. Source: Alexandria via LeMat-Bulk, functional PBE-GGA.

Summary:
SG: Imm2, No. 44
relative energy among the computed polymorphs: 20 meV per atom

Lattice parameters (Å, degrees): 3.7829 6.4923 7.1070 117.18 105.43 90.00
Positions (direct):
Pm 0.7534 0.0878 0.5069
Pm 0.5000 0.5022 0.0000
Pm 0.2466 0.5809 0.4931
Ac 0.0000 0.9958 0.0000



Record 3
Crystalline Pm4NdS4 at its relaxed geometry. Source: Alexandria via LeMat-Bulk, functional PBE-GGA.

Summary:
SG: I4/m, No. 87
formation energy (no corrections): -1792 meV per atom

Lattice parameters (Å, degrees): 5.6865 6.9591 6.9619 80.38 65.90 65.89
Positions (direct):
S 0.6973 0.2029 0.4025
S 0.1000 0.5973 0.2027
S 0.9000 0.4027 0.7973
S 0.3027 0.7971 0.5975
Pm 0.3953 0.4091 0.8002
Pm 0.8047 0.8001 0.5906
Pm 0.1953 0.1999 0.4094
Pm 0.6047 0.5909 0.1998
Nd 0.0000 0.0000 0.0000



Record 4
Crystalline Sc5Al4Ag at its relaxed geometry. Source: Alexandria via LeMat-Bulk, functional PBE-GGA.

Summary:
SG: P4/mmm, No. 123

Lattice parameters (Å, degrees): 3.3633 3.3633 17.2560 90.00 90.00 90.00
Positions (direct):
Sc 0.5000 0.5000 0.3033
Sc 0.5000 0.5000 0.1034
Sc 0.5000 0.5000 0.8966
Sc 0.5000 0.5000 0.6967
Sc 0.5000 0.5000 0.5000
Ag 0.0000 0.0000 0.0000
Al 0.0000 0.0000 0.4019
Al 0.0000 0.0000 0.5981
Al 0.0000 0.0000 0.7968
Al 0.0000 0.0000 0.2032



Across the entries above, energy takes the values -5.1821, -4.5411, -6.2679, -5.3613 eV per atom, respectively.